Record 1
The following is a PBE calculation of a geometry-optimized NaZnPO4 structure, from OQMD.

## Properties
Relative energy among the computed polymorphs: 1.1 kJ/mol of atoms
Calculated density: 3.5 g/cm³
Symmetry: P2_1/c, No. 14

Cell lengths 8.624, 7.985, 17.464 Å; angles 90.00, 119.34, 90.00 degrees
Positions (direct):
Na  0.295  0.529  0.068
Na  0.353  0.970  0.091
Na  0.004  0.482  0.248
Na  0.996  0.982  0.252
Na  0.647  0.470  0.409
Na  0.705  0.029  0.432
Na  0.295  0.971  0.568
Na  0.353  0.530  0.591
Na  0.004  0.018  0.748
Na  0.996  0.518  0.752
Na  0.647  0.030  0.909
Na  0.705  0.471  0.932
O  0.071  0.721  0.005
O  0.475  0.773  0.032
O  0.758  0.646  0.044
O  0.872  0.009  0.052
O  0.599  0.505  0.117
O  0.179  0.141  0.132
O  0.915  0.274  0.136
O  0.588  0.148  0.166
O  0.764  0.775  0.178
O  0.248  0.505  0.185
O  0.424  0.766  0.200
O  0.137  0.779  0.207
O  0.863  0.279  0.293
O  0.576  0.266  0.300
O  0.752  0.005  0.315
O  0.236  0.275  0.322
O  0.412  0.648  0.334
O  0.085  0.774  0.364
O  0.821  0.641  0.368
O  0.401  0.005  0.383
O  0.128  0.509  0.448
O  0.242  0.146  0.456
O  0.525  0.273  0.468
O  0.929  0.221  0.495
O  0.071  0.779  0.505
O  0.475  0.727  0.532
O  0.758  0.854  0.544
O  0.872  0.491  0.552
O  0.599  0.995  0.617
O  0.179  0.359  0.632
O  0.915  0.226  0.636
O  0.588  0.352  0.666
O  0.764  0.725  0.678
O  0.248  0.995  0.685
O  0.424  0.734  0.700
O  0.137  0.721  0.707
O  0.863  0.221  0.793
O  0.576  0.234  0.800
O  0.752  0.495  0.815
O  0.236  0.225  0.822
O  0.412  0.852  0.834
O  0.085  0.726  0.864
O  0.821  0.859  0.868
O  0.401  0.495  0.883
O  0.128  0.991  0.948
O  0.242  0.354  0.956
O  0.525  0.227  0.968
O  0.929  0.279  0.995
P  0.976  0.176  0.079
P  0.649  0.675  0.092
P  0.308  0.676  0.233
P  0.692  0.176  0.267
P  0.351  0.175  0.408
P  0.024  0.676  0.421
P  0.976  0.324  0.579
P  0.649  0.825  0.592
P  0.308  0.824  0.733
P  0.692  0.324  0.767
P  0.351  0.325  0.908
P  0.024  0.824  0.921
Zn  0.970  0.783  0.080
Zn  0.657  0.279  0.093
Zn  0.319  0.278  0.235
Zn  0.681  0.778  0.265
Zn  0.343  0.779  0.407
Zn  0.030  0.283  0.420
Zn  0.970  0.717  0.580
Zn  0.657  0.221  0.593
Zn  0.319  0.222  0.735
Zn  0.681  0.722  0.765
Zn  0.343  0.721  0.907
Zn  0.030  0.217  0.920

Record 2
The following is a PBE calculation of a geometry-optimized LuCdCoB structure, from OQMD.

## Properties
Relative energy among the computed polymorphs: 20.5 kJ/mol of atoms
Calculated density: 9.8 g/cm³
Magnetic moment: 0.564 Bohr magnetons per cell
Symmetry: F-43m, No. 216

Cell lengths 4.414, 4.414, 4.414 Å; angles 60.00, 60.00, 60.00 degrees
Last column: magnetic moment on the atom in μB.
Positions (direct):
B  0.000  0.000  0.000  0.03
Cd  0.250  0.250  0.250  0.00
Co  0.750  0.750  0.750  0.52
Lu  0.500  0.500  0.500  -0.01

Record 3
The following is a PBE calculation of a geometry-optimized LuZrInCo structure, from OQMD.

## Properties
Relative energy among the computed polymorphs: 0.0 kJ/mol of atoms
Calculated density: 9.3 g/cm³
Magnetic moment: 1.000 Bohr magnetons per cell
Symmetry: F-43m, No. 216

Cell lengths 4.799, 4.799, 4.799 Å; angles 60.00, 60.00, 60.00 degrees
Last column: magnetic moment on the atom in μB.
Positions (direct):
Co  0.750  0.750  0.750  0.54
In  0.000  0.000  0.000  0.01
Lu  0.250  0.250  0.250  0.24
Zr  0.500  0.500  0.500  0.18

Record 4
The following is a PBE calculation of a geometry-optimized Cs3Nd2Cl9 structure, from OQMD.

## Properties
Calculated density: 3.4 g/cm³
VASP energy: -4.2239 eV per atom
Magnetic moment: 0.010 Bohr magnetons per cell
Symmetry: P321, No. 150

Cell lengths 7.694, 7.694, 9.599 Å; angles 90.01, 90.01, 60.01 degrees
Positions (direct):
Cl  0.504  0.000  0.000
Cl  0.000  0.496  0.000
Cl  0.496  0.504  0.000
Cl  0.837  0.832  0.328
Cl  0.330  0.837  0.328
Cl  0.832  0.330  0.328
Cl  0.670  0.168  0.672
Cl  0.163  0.670  0.672
Cl  0.168  0.163  0.672
Cs  0.000  0.000  0.000
Cs  0.333  0.333  0.355
Cs  0.667  0.667  0.645
Nd  0.667  0.667  0.184
Nd  0.333  0.333  0.816

Record 5
The following is a PBE calculation of a geometry-optimized LuGe2Bi structure, from OQMD.

## Properties
Calculated density: 9.0 g/cm³
VASP energy: -4.4504 eV per atom
Magnetic moment: 0.000 Bohr magnetons per cell
Symmetry: F-43m, No. 216

Cell lengths 5.173, 5.173, 5.173 Å; angles 60.00, 60.00, 60.00 degrees
Positions (direct):
Bi  0.500  0.500  0.500
Ge  0.000  0.000  0.000
Ge  0.750  0.750  0.750
Lu  0.250  0.250  0.250

Record 6
The following is a PBE calculation of a geometry-optimized SmBPO structure, from OQMD.

## Properties
Relative energy among the computed polymorphs: 85.0 kJ/mol of atoms
Calculated density: 4.7 g/cm³
Magnetic moment: 0.001 Bohr magnetons per cell
Symmetry: P4/nmm, No. 129

Cell lengths 5.829, 5.829, 4.313 Å; angles 90.00, 90.00, 90.00 degrees
Positions (direct):
B  0.000  0.500  0.364
B  0.500  0.000  0.636
O  0.000  0.000  0.000
O  0.500  0.500  0.000
P  0.500  0.000  0.222
P  0.000  0.500  0.778
Sm  0.000  0.000  0.500
Sm  0.500  0.500  0.500

Record 7
The following is a PBE calculation of a geometry-optimized FeAuICl3 structure, from OQMD.

## Properties
Calculated density: 4.3 g/cm³
VASP energy: -3.5398 eV per atom
Magnetic moment: 5.000 Bohr magnetons per cell
Symmetry: P1, No. 1

Cell lengths 5.826, 5.999, 6.505 Å; angles 109.78, 114.39, 94.45 degrees
Last column: magnetic moment on the atom in μB.
Positions (direct):
Au  0.467  0.436  0.941  0.14
Cl  0.907  0.858  0.268  0.21
Cl  0.338  0.437  0.284  0.19
Cl  0.145  0.667  0.770  0.17
Fe  0.235  0.750  0.497  3.65
I  0.658  0.102  0.740  0.19

Record 8
The following is a PBE calculation of a geometry-optimized ZnCoCuIr structure, from OQMD.

## Properties
Relative energy among the computed polymorphs: 0.0 kJ/mol of atoms
Calculated density: 12.3 g/cm³
Magnetic moment: 2.162 Bohr magnetons per cell
Symmetry: F-43m, No. 216
ΔH_f (0 K): 0.03 eV per atom

Cell lengths 4.174, 4.174, 4.174 Å; angles 60.00, 60.00, 60.00 degrees
Positions (direct):
Co  0.500  0.500  0.500
Cu  0.750  0.750  0.750
Ir  0.250  0.250  0.250
Zn  0.000  0.000  0.000